1.
DFT (PBE-GGA) results for a relaxed NaPr2Cl6 crystal.

Cell and atoms, written as POSCAR:
```
NaPr2Cl6
1.0
3.951 0.000 0.000
0.000 8.008 0.000
0.000 8.007 13.884
Na Pr Cl
2 4 12
direct
0.000 0.500 0.500
0.500 0.500 0.000
0.750 0.834 0.667
0.750 0.834 0.167
0.250 0.166 0.833
0.250 0.166 0.333
0.250 0.118 0.540
0.251 0.802 0.809
0.749 0.420 0.849
0.249 0.580 0.651
0.250 0.118 0.040
0.249 0.802 0.309
0.751 0.198 0.691
0.750 0.882 0.960
0.751 0.420 0.349
0.251 0.580 0.151
0.749 0.198 0.191
0.750 0.882 0.460
```

As for the energy relative to the lowest polymorph listed for this composition: 0.000 eV per atom. As for the density of states at the Fermi level: 4.90 states/eV/cell. As for the space group: P2_1/c (14).

=====

2.
DFT (PBE-GGA) results for a relaxed CuSb2P crystal.

Cell and atoms, written as POSCAR:
```
CuSb2P
1.0
-1.731 -3.426 -0.554
1.853 -2.845 -1.875
2.453 -4.248 4.791
Cu P Sb
1 1 2
direct
0.513 0.513 0.463
0.233 0.233 0.297
0.988 0.988 0.036
0.767 0.767 0.704
```

As for the density of states at the Fermi level: 2.20 states/eV/cell. The calculation puts the raw total energy at -4.278 eV per atom. As for the space group: Cm (8).

=====

3.
DFT (PBE-GGA) results for a relaxed CeMnZn2 crystal.

Cell and atoms, written as POSCAR:
```
CeMnZn2
1.0
4.337 0.000 0.000
2.169 3.756 0.000
2.169 1.252 5.036
Zn Mn Ce
2 1 1
direct
0.791 0.791 0.626
0.209 0.209 0.374
0.500 0.500 0.500
0.000 0.000 0.000
```

As for the density of states at the Fermi level: 8.45 states/eV/cell. The calculation puts the raw total energy at -4.373 eV per atom. As for the space group: R-3m (166).

=====

4.
DFT (PBE-GGA) results for a relaxed Cd3Sn2Hg2 crystal.

Cell and atoms, written as POSCAR:
```
Cd3Sn2Hg2
1.0
4.700 0.000 0.000
0.000 6.090 -0.333
-2.350 -2.278 6.681
Cd Sn Hg
3 2 2
direct
0.000 0.500 0.000
0.218 0.820 0.436
0.782 0.180 0.564
0.557 0.836 0.115
0.443 0.164 0.885
0.838 0.711 0.675
0.162 0.289 0.325
```

As for the energy relative to the lowest polymorph listed for this composition: 0.003 eV per atom. As for the density of states at the Fermi level: 3.47 states/eV/cell. As for the space group: C2/m (12).